# 1
Compound: BaAcZnCd
Source: Alexandria
Functional: GGA-PBE
Structure: relaxed

Output
The calculation puts the energy above the most stable polymorph in this dataset at 0.00 kcal/mol of atoms. As for the total energy: -2.313 eV/atom. For the formation enthalpy at 0 K, the calculation gives -99 kJ/mol of formula units.

Lattice parameters (Å, degrees): 4.066 4.066 8.264 90.00 90.00 90.00
Positions (direct):
1 Zn 0.000 0.000 0.383
2 Cd 0.000 0.000 0.836
3 Ac 0.500 0.500 0.593
4 Ba 0.500 0.500 0.116


# 2
Compound: BaAcZnCd
Source: Alexandria
Functional: GGA-PBE
Structure: relaxed

Output
The calculation puts the energy above the most stable polymorph in this dataset at 0.86 kcal/mol of atoms. As for the total energy: -2.275 eV/atom. For the formation enthalpy at 0 K, the calculation gives -85 kJ/mol of formula units.

Lattice parameters (Å, degrees): 5.775 5.775 5.775 60.00 60.00 60.00
Positions (direct):
1 Zn 0.250 0.250 0.250
2 Ba 0.500 0.500 0.500
3 Cd 0.750 0.750 0.750
4 Ac 0.000 0.000 0.000


# 3
Compound: BaAc4Ce
Source: Alexandria
Functional: GGA-PBE
Structure: relaxed

Output
As for the total energy: -3.698 eV/atom. For the formation enthalpy at 0 K, the calculation gives 203 kJ/mol of formula units.

Lattice parameters (Å, degrees): 7.423 7.423 7.423 60.00 60.00 60.00
Positions (direct):
1 Ce 0.000 0.000 0.000
2 Ac 0.627 0.627 0.627
3 Ac 0.627 0.119 0.627
4 Ac 0.627 0.627 0.119
5 Ac 0.119 0.627 0.627
6 Ba 0.250 0.250 0.250


# 4
Compound: Ba2AcCe
Source: Alexandria
Functional: GGA-PBE
Structure: relaxed

Output
As for the total energy: -3.088 eV/atom. For the formation enthalpy at 0 K, the calculation gives 148 kJ/mol of formula units.

Lattice parameters (Å, degrees): 3.922 3.922 14.449 82.20 82.20 60.00
Positions (direct):
1 Ba 0.915 0.915 0.255
2 Ba 0.085 0.085 0.745
3 Ac 0.500 0.500 0.500
4 Ce 0.000 0.000 0.000


# 5
Compound: BaAc2CeHg4
Source: Alexandria
Functional: GGA-PBE
Structure: relaxed

Output
As for the total energy: -2.576 eV/atom. For the formation enthalpy at 0 K, the calculation gives -321 kJ/mol of formula units.

Lattice parameters (Å, degrees): 5.689 5.689 9.936 73.36 73.36 60.00
Positions (direct):
1 Ac 0.248 0.248 0.255
2 Ac 0.752 0.752 0.745
3 Hg 0.871 0.871 0.386
4 Hg 0.129 0.129 0.614
5 Hg 0.619 0.619 0.144
6 Hg 0.381 0.381 0.856
7 Ba 0.000 0.000 0.000
8 Ce 0.500 0.500 0.500


# 6
Compound: BaAcCeIn
Source: Alexandria
Functional: GGA-PBE
Structure: relaxed

Output
As for the total energy: -3.561 eV/atom. For the formation enthalpy at 0 K, the calculation gives 44 kJ/mol of formula units.

Lattice parameters (Å, degrees): 5.959 5.959 5.959 60.00 60.00 60.00
Positions (direct):
1 In 0.000 0.000 0.000
2 Ce 0.750 0.750 0.750
3 Ba 0.250 0.250 0.250
4 Ac 0.500 0.500 0.500


# 7
Compound: Ba2AcCeO6
Source: Alexandria
Functional: GGA-PBE
Structure: relaxed

Output
As for the total energy: -7.239 eV/atom. The formation energy from raw total energies comes out at -28.76 eV per formula unit.

Lattice parameters (Å, degrees): 6.396 6.486 9.097 90.00 90.33 90.00
Positions (direct):
1 Ba 0.512 0.537 0.750
2 Ba 0.488 0.463 0.250
3 Ba 0.988 0.037 0.750
4 Ba 0.012 0.963 0.250
5 O 0.700 0.277 0.555
6 O 0.776 0.800 0.549
7 O 0.094 0.465 0.762
8 O 0.200 0.223 0.055
9 O 0.300 0.723 0.445
10 O 0.906 0.535 0.238
11 O 0.224 0.200 0.451
12 O 0.276 0.700 0.049
13 O 0.800 0.777 0.945
14 O 0.406 0.965 0.738
15 O 0.594 0.035 0.262
16 O 0.724 0.300 0.951
17 Ce 0.500 0.000 0.500
18 Ce 0.000 0.500 0.000
19 Ac 0.000 0.500 0.500
20 Ac 0.500 0.000 0.000


# 8
Compound: Ba3Ac3CeO8
Source: Alexandria
Functional: GGA-PBE
Structure: relaxed

Output
As for the total energy: -7.016 eV/atom. The formation energy from raw total energies comes out at -41.54 eV per formula unit.

Lattice parameters (Å, degrees): 7.622 7.621 7.731 119.53 90.00 120.00
Positions (direct):
1 O 0.737 0.475 0.712
2 O 0.263 0.525 0.288
3 O 0.219 0.439 0.692
4 O 0.247 0.027 0.308
5 O 0.781 0.561 0.308
6 O 0.753 0.973 0.692
7 O 0.781 0.027 0.308
8 O 0.219 0.973 0.692
9 Ac 0.500 0.500 0.500
10 Ac 0.500 0.000 0.500
11 Ac 0.000 0.500 0.500
12 Ba 0.500 0.500 0.000
13 Ba 0.000 0.000 0.000
14 Ba 0.000 0.500 0.000
15 Ce 0.000 0.000 0.500


# 9
Compound: BaAc4CeO8
Source: Alexandria
Functional: GGA-PBE
Structure: relaxed

Output
As for the total energy: -7.570 eV/atom. The formation energy from raw total energies comes out at -42.03 eV per formula unit.

Lattice parameters (Å, degrees): 7.546 7.546 7.479 59.70 59.70 60.00
Positions (direct):
1 Ac 0.000 0.499 0.501
2 Ac 0.499 0.000 0.501
3 Ac 0.000 0.000 0.501
4 Ac 0.621 0.621 0.137
5 O 0.261 0.754 0.724
6 O 0.748 0.224 0.280
7 O 0.754 0.261 0.724
8 O 0.760 0.760 0.720
9 O 0.245 0.245 0.264
10 O 0.261 0.261 0.724
11 O 0.224 0.748 0.280
12 O 0.748 0.748 0.280
13 Ba 0.001 0.001 0.997
14 Ce 0.378 0.378 0.867


# 10
Compound: Ba2AcCeS6
Source: Alexandria
Functional: GGA-PBE
Structure: relaxed

Output
As for the total energy: -5.669 eV/atom. The formation energy from raw total energies comes out at -18.04 eV per formula unit.

Lattice parameters (Å, degrees): 7.495 7.861 10.581 90.00 89.70 90.00
Positions (direct):
1 S 0.212 0.195 0.442
2 S 0.379 0.952 0.739
3 S 0.690 0.284 0.566
4 S 0.712 0.305 0.942
5 S 0.810 0.784 0.934
6 S 0.310 0.716 0.434
7 S 0.621 0.048 0.261
8 S 0.879 0.548 0.239
9 S 0.288 0.695 0.058
10 S 0.190 0.216 0.066
11 S 0.121 0.452 0.761
12 S 0.788 0.805 0.558
13 Ce 0.000 0.500 0.000
14 Ce 0.500 0.000 0.500
15 Ba 0.974 0.068 0.747
16 Ba 0.474 0.432 0.247
17 Ba 0.526 0.568 0.753
18 Ba 0.026 0.932 0.253
19 Ac 0.000 0.500 0.500
20 Ac 0.500 0.000 0.000


# 11
Compound: Ba2AcCeS4
Source: Alexandria
Functional: GGA-PBE
Structure: relaxed

Output
As for the total energy: -5.803 eV/atom. The formation energy from raw total energies comes out at -16.02 eV per formula unit.

Lattice parameters (Å, degrees): 4.329 7.497 7.649 109.06 90.00 90.00
Positions (direct):
1 Ce 0.500 0.500 0.000
2 Ac 0.000 0.000 0.000
3 S 0.000 0.267 0.777
4 S 0.500 0.251 0.227
5 S 0.000 0.733 0.223
6 S 0.500 0.749 0.773
7 Ba 0.500 0.000 0.500
8 Ba 0.000 0.500 0.500


# 12
Compound: Ba2AcCeSb4
Source: Alexandria
Functional: GGA-PBE
Structure: relaxed

Output
As for the total energy: -4.783 eV/atom. The formation energy from raw total energies comes out at -7.89 eV per formula unit.

Lattice parameters (Å, degrees): 4.794 8.456 8.294 70.87 90.00 90.00
Positions (direct):
1 Sb 0.500 0.724 0.243
2 Sb 0.000 0.285 0.224
3 Sb 0.000 0.715 0.776
4 Sb 0.500 0.276 0.757
5 Ba 0.500 0.000 0.500
6 Ba 0.000 0.000 0.000
7 Ce 0.500 0.500 0.000
8 Ac 0.000 0.500 0.500


# 13
Compound: BaAcCe2Se4
Source: Alexandria
Functional: GGA-PBE
Structure: relaxed

Output
As for the total energy: -5.815 eV/atom. The formation energy from raw total energies comes out at -14.69 eV per formula unit.

Lattice parameters (Å, degrees): 4.351 7.699 7.573 71.06 90.00 90.00
Positions (direct):
1 Se 0.000 0.227 0.263
2 Se 0.500 0.231 0.751
3 Se 0.000 0.773 0.737
4 Se 0.500 0.769 0.249
5 Ce 0.000 0.000 0.000
6 Ce 0.500 0.000 0.500
7 Ba 0.500 0.500 0.000
8 Ac 0.000 0.500 0.500


# 14
Compound: Ba2AcCeSe4
Source: Alexandria
Functional: GGA-PBE
Structure: relaxed

Output
As for the total energy: -5.384 eV/atom. The formation energy from raw total energies comes out at -15.25 eV per formula unit.

Lattice parameters (Å, degrees): 4.491 7.777 7.939 109.07 90.00 90.00
Positions (direct):
1 Ce 0.500 0.500 0.000
2 Ac 0.000 0.000 0.000
3 Se 0.500 0.251 0.230
4 Se 0.000 0.265 0.774
5 Se 0.000 0.735 0.226
6 Se 0.500 0.749 0.770
7 Ba 0.500 0.000 0.500
8 Ba 0.000 0.500 0.500


# 15
Compound: Ba3Ac2CeSe6
Source: Alexandria
Functional: GGA-PBE
Structure: relaxed

Output
As for the total energy: -5.324 eV/atom. The formation energy from raw total energies comes out at -23.06 eV per formula unit.

Lattice parameters (Å, degrees): 4.511 9.149 10.208 104.07 102.77 90.00
Positions (direct):
1 Se 0.659 0.089 0.319
2 Se 0.671 0.575 0.342
3 Se 0.341 0.911 0.681
4 Se 0.002 0.231 0.004
5 Se 0.329 0.425 0.658
6 Se 0.998 0.769 0.996
7 Ac 0.835 0.669 0.671
8 Ac 0.165 0.331 0.329
9 Ba 0.500 0.500 0.000
10 Ba 0.167 0.834 0.335
11 Ba 0.833 0.166 0.665
12 Ce 0.500 0.000 0.000


# 16
Compound: BaAc2CeSe4
Source: Alexandria
Functional: GGA-PBE
Structure: relaxed

Output
As for the total energy: -5.603 eV/atom. The formation energy from raw total energies comes out at -14.81 eV per formula unit.

Lattice parameters (Å, degrees): 4.441 7.719 7.772 70.81 90.00 90.00
Positions (direct):
1 Se 0.000 0.744 0.763
2 Se 0.500 0.753 0.237
3 Se 0.500 0.247 0.763
4 Se 0.000 0.256 0.237
5 Ba 0.000 0.500 0.500
6 Ac 0.500 0.000 0.500
7 Ac 0.000 0.000 0.000
8 Ce 0.500 0.500 0.000


# 17
Compound: Ba3AcCe2Se6
Source: Alexandria
Functional: GGA-PBE
Structure: relaxed

Output
As for the total energy: -5.446 eV/atom. The formation energy from raw total energies comes out at -22.70 eV per formula unit.

Lattice parameters (Å, degrees): 7.727 7.727 7.916 99.36 99.36 119.96
Positions (direct):
1 Se 0.924 0.582 0.773
2 Se 0.418 0.076 0.227
3 Se 0.267 0.267 0.775
4 Se 0.076 0.418 0.227
5 Se 0.733 0.733 0.225
6 Se 0.582 0.924 0.773
7 Ba 0.836 0.164 0.500
8 Ba 0.164 0.836 0.500
9 Ba 0.500 0.500 0.500
10 Ce 0.667 0.333 0.000
11 Ce 0.333 0.667 0.000
12 Ac 0.000 0.000 0.000


# 18
Compound: Ba4Ac3CeTe8
Source: Alexandria
Functional: GGA-PBE
Structure: relaxed

Output
As for the total energy: -4.799 eV/atom. The formation energy from raw total energies comes out at -25.71 eV per formula unit.

Lattice parameters (Å, degrees): 9.590 9.728 9.591 119.53 120.00 90.00
Positions (direct):
1 Ba 0.500 0.000 0.500
2 Ba 0.000 0.000 0.500
3 Ba 0.000 0.000 0.000
4 Ba 0.500 0.000 0.000
5 Te 0.759 0.267 0.008
6 Te 0.241 0.733 0.482
7 Te 0.759 0.267 0.518
8 Te 0.241 0.733 0.992
9 Te 0.249 0.267 0.008
10 Te 0.254 0.263 0.509
11 Te 0.746 0.737 0.491
12 Te 0.751 0.733 0.992
13 Ce 0.000 0.500 0.000
14 Ac 0.000 0.500 0.500
15 Ac 0.500 0.500 0.000
16 Ac 0.500 0.500 0.500


# 19
Compound: BaAc2Ce3Te6
Source: Alexandria
Functional: GGA-PBE
Structure: relaxed

Output
As for the total energy: -5.350 eV/atom. The formation energy from raw total energies comes out at -17.41 eV per formula unit.

Lattice parameters (Å, degrees): 4.608 9.404 10.451 104.08 102.74 90.00
Positions (direct):
1 Ce 0.165 0.831 0.331
2 Ce 0.500 0.500 0.000
3 Ce 0.835 0.169 0.669
4 Te 0.338 0.409 0.675
5 Te 0.001 0.735 0.003
6 Te 0.672 0.077 0.345
7 Te 0.662 0.591 0.325
8 Te 0.999 0.265 0.997
9 Te 0.328 0.923 0.655
10 Ac 0.169 0.337 0.338
11 Ac 0.831 0.663 0.662
12 Ba 0.500 0.000 0.000


# 20
Compound: BaAc2CeTl4
Source: Alexandria
Functional: GGA-PBE
Structure: relaxed

Output
As for the total energy: -3.488 eV/atom. For the formation enthalpy at 0 K, the calculation gives -228 kJ/mol of formula units.

Lattice parameters (Å, degrees): 5.828 5.828 10.102 73.24 73.24 60.00
Positions (direct):
1 Tl 0.129 0.129 0.612
2 Tl 0.383 0.383 0.851
3 Tl 0.617 0.617 0.149
4 Tl 0.871 0.871 0.388
5 Ac 0.252 0.252 0.244
6 Ac 0.748 0.748 0.756
7 Ba 0.000 0.000 0.000
8 Ce 0.500 0.500 0.500